# 1
Material: BeSbSe2
Method: DFT, PBE
State: optimized geometry

Results
ΔE_f (raw) = 0.085 eV/atom
DOS(E_F) = 0.6175 states/eV per atom
Uncorrected energy = -28.95 eV per cell
E above lowest polymorph = 337 meV/atom

a = 3.4818 Å, b = 6.4336 Å, c = 7.8512 Å
α = 90.00°, β = 90.00°, γ = 90.00°
Last column: nearest neighbours and their distance in Å.
Space group Cmmm (No. 65)
Unique sites:
Be1 0.0000 0.0000 0.0000 [2 per cell]  4 Se 2.28
Sb1 0.0000 0.0000 0.5000 [2 per cell]  4 Se 3.00
Se1 0.0000 0.5000 0.1884 [4 per cell]  2 Be 2.28

# 2
Material: Be2SbSe
Method: DFT, PBE
State: optimized geometry

Results
ΔE_f (raw) = 0.281 eV/atom
DOS(E_F) = 0.3490 states/eV per atom
Uncorrected energy = -13.94 eV per cell
E above lowest polymorph = 532 meV/atom

a = 4.0504 Å, b = 3.3651 Å, c = 5.4301 Å
α = 90.00°, β = 96.69°, γ = 90.00°
Last column: nearest neighbours and their distance in Å.
Space group P2/m (No. 10)
Unique sites:
Be1 0.0647 0.0000 0.2064 [2 per cell]  1 Be 2.24, 2 Se 2.35
Sb1 0.5000 0.5000 0.0000 [1 per cell]  8 Be 2.77-2.95
Se1 0.0000 0.5000 0.5000 [1 per cell]  4 Be 2.35

# 3
Material: BeSbSe2
Method: DFT, PBE
State: optimized geometry

Results
ΔE_f (raw) = 0.443 eV/atom
DOS(E_F) = 0.4019 states/eV per atom
Uncorrected energy = -13.04 eV per cell
E above lowest polymorph = 695 meV/atom

a = 4.8362 Å, b = 4.8362 Å, c = 3.4605 Å
α = 90.00°, β = 90.00°, γ = 90.00°
Last column: nearest neighbours and their distance in Å.
Space group P4/mmm (No. 123)
Unique sites:
Be1 0.0000 0.0000 0.0000 [1 per cell]  8 Se 2.97
Sb1 0.5000 0.5000 0.0000 [1 per cell]  8 Se 2.97
Se1 0.0000 0.5000 0.5000 [2 per cell]  4 Sb 2.97, 4 Be 2.97

# 4
Material: BeSbSe2
Method: DFT, PBE
State: optimized geometry

Results
ΔE_f (raw) = -0.053 eV/atom
DOS(E_F) = 0.3148 states/eV per atom
Uncorrected energy = -30.06 eV per cell
E above lowest polymorph = 198 meV/atom

a = 3.3810 Å, b = 4.9327 Å, c = 11.1163 Å
α = 90.00°, β = 90.00°, γ = 90.00°
Last column: nearest neighbours and their distance in Å.
Space group Immm (No. 71)
Unique sites:
Be1 0.0000 0.0000 0.0000 [2 per cell]  4 Se 2.35
Sb1 0.0000 0.0000 0.5000 [2 per cell]  4 Se 2.96, 4 Be 2.99
Se1 0.0000 0.5000 0.3529 [4 per cell]  2 Be 2.35

# 5
Material: BeSbSe
Method: DFT, PBE
State: optimized geometry

Results
ΔE_f (raw) = 0.411 eV/atom
DOS(E_F) = 0.6352 states/eV per atom
Uncorrected energy = -40.40 eV per cell
E above lowest polymorph = 814 meV/atom

a = 6.3377 Å, b = 6.3377 Å, c = 6.3377 Å
α = 90.00°, β = 90.00°, γ = 90.00°
Last column: nearest neighbours and their distance in Å.
Space group F-43m (No. 216)
Unique sites:
Be1 0.0000 0.0000 0.0000 [4 per cell]  4 Sb 2.74, 4 Se 2.74
Sb1 0.2500 0.2500 0.7500 [4 per cell]  4 Be 2.74
Se1 0.2500 0.2500 0.2500 [4 per cell]  4 Be 2.74

# 6
Material: BeSbSe2
Method: DFT, PBE
State: optimized geometry

Results
ΔE_f (raw) = 0.127 eV/atom
DOS(E_F) = 0.4776 states/eV per atom
Uncorrected energy = -28.62 eV per cell
E above lowest polymorph = 378 meV/atom

a = 3.6298 Å, b = 6.0910 Å, c = 9.0579 Å
α = 90.00°, β = 90.00°, γ = 90.00°
Last column: nearest neighbours and their distance in Å.
Space group Cmm2 (No. 35)
Unique sites:
Be1 0.0000 0.0000 0.0000 [2 per cell]  2 Se 2.09
Sb1 0.0000 0.5000 0.2727 [2 per cell]  2 Se 2.69
Se1 0.0000 0.0000 0.4921 [2 per cell]  2 Sb 2.69
Se2 0.0000 0.5000 0.8858 [2 per cell]  2 Be 2.09

# 7
Material: Be2SbSe
Method: DFT, PBE
State: optimized geometry

Results
ΔE_f (raw) = 0.881 eV/atom
DOS(E_F) = 0.3345 states/eV per atom
Uncorrected energy = -46.14 eV per cell
E above lowest polymorph = 1133 meV/atom

a = 6.6010 Å, b = 6.6010 Å, c = 6.6010 Å
α = 90.00°, β = 90.00°, γ = 90.00°
Last column: nearest neighbours and their distance in Å.
Space group F-43m (No. 216)
Unique sites:
Be1 0.0000 0.0000 0.0000 [4 per cell]  4 Be 2.86, 4 Sb 2.86
Be2 0.2500 0.2500 0.2500 [4 per cell]  4 Se 2.86, 4 Be 2.86
Sb1 0.2500 0.2500 0.7500 [4 per cell]  4 Se 2.86, 4 Be 2.86
Se1 0.0000 0.0000 0.5000 [4 per cell]  4 Sb 2.86, 4 Be 2.86

# 8
Material: Be2SbSe
Method: DFT, PBE
State: optimized geometry

Results
ΔE_f (raw) = 0.003 eV/atom
DOS(E_F) = 0.0789 states/eV per atom
Uncorrected energy = -30.09 eV per cell
E above lowest polymorph = 254 meV/atom

a = 15.2650 Å, b = 3.3066 Å, c = 3.8172 Å
α = 90.00°, β = 92.08°, γ = 90.00°
Last column: nearest neighbours and their distance in Å.
Space group Cm (No. 8)
Unique sites:
Be1 0.0000 0.0000 0.0000 [2 per cell]  2 Se 2.13
Be2 0.0740 0.5000 0.6466 [2 per cell]  1 Se 2.16
Sb1 0.1555 0.0000 0.1950 [2 per cell]  3 Be 2.46-2.72
Se1 0.4356 0.0000 0.7498 [2 per cell]  3 Be 2.13-2.16